1.
PmTmGePt: relaxed, PBE-GGA.

Cell lengths 3.9913, 4.2689, 5.8187 Å; angles 90.00, 110.06, 90.00 degrees
With the nearest neighbours (Å) after each atom.
Sites, in units of the cell vectors:
Tm  0.1388  0.0000  0.2776  4 Ge 2.98, 3 Pt 3.04-3.14
Pm  0.8602  0.5000  0.7203  4 Pt 2.99, 3 Ge 3.02-3.16
Pt  0.4171  0.0000  0.8343  2 Ge 2.81, 4 Pm 2.99, 3 Tm 3.04-3.14
Ge  0.5839  0.5000  0.1678  2 Pt 2.81, 4 Tm 2.98, 1 Pm 3.02

- Formation energy from the elements: -4.12 eV per formula unit
- E above lowest polymorph: 0.0 meV/atom
- DFT total energy: -5.999 eV/atom

2.
LaNd3Sc: relaxed, PBE-GGA.

Cell lengths 5.3923, 7.4204, 8.5070 Å; angles 90.00, 90.00, 90.00 degrees
With the nearest neighbours (Å) after each atom.
Sites, in units of the cell vectors:
Nd  0.2500  0.4580  0.2250  1 Nd 3.09, 3 Sc 3.31-3.38
Nd  0.2500  0.2500  0.8005  4 Nd 3.47, 4 Sc 3.53-3.87
Sc  0.7500  0.2500  0.0684  1 La 3.29, 8 Nd 3.31-3.53
La  0.7500  0.2500  0.4550  1 Sc 3.29, 6 Nd 3.48-3.67
Nd  0.7500  0.7500  0.1995  4 Nd 3.47, 4 Sc 3.53-3.87
Sc  0.2500  0.7500  0.9316  1 La 3.29, 8 Nd 3.31-3.53
La  0.2500  0.7500  0.5450  1 Sc 3.29, 6 Nd 3.48-3.67
Nd  0.7500  0.5420  0.7750  1 Nd 3.09, 3 Sc 3.31-3.38
Nd  0.2500  0.0420  0.2250  1 Nd 3.09, 3 Sc 3.31-3.38
Nd  0.7500  0.9580  0.7750  1 Nd 3.09, 3 Sc 3.31-3.38

- Formation energy from the elements: 0.78 eV per formula unit
- E above lowest polymorph: 6.6 meV/atom
- DFT total energy: -4.957 eV/atom

3.
Rb2LiSc3F12: relaxed, PBE-GGA.

Cell lengths 7.5408, 7.5408, 7.5408 Å; angles 61.56, 61.56, 61.56 degrees
With the nearest neighbours (Å) after each atom.
Sites, in units of the cell vectors:
Rb  0.6467  0.6467  0.6467  3 F 3.06
Sc  0.5000  0.0000  0.0000  6 F 1.97-2.06
Li  0.0000  0.0000  0.0000  6 F 2.11
F  0.6829  0.6829  0.0643  2 Sc 2.06
Sc  0.0000  0.5000  0.0000  6 F 1.97-2.06
Rb  0.3533  0.3533  0.3533  3 F 3.06
F  0.3171  0.3171  0.9357  2 Sc 2.06
Sc  0.0000  0.0000  0.5000  6 F 1.97-2.06
F  0.9277  0.3282  0.9277  1 Sc 1.97, 1 Li 2.11
F  0.6718  0.0723  0.0723  1 Sc 1.97, 1 Li 2.11
F  0.3282  0.9277  0.9277  1 Sc 1.97, 1 Li 2.11
F  0.0643  0.6829  0.6829  2 Sc 2.06
F  0.9357  0.3171  0.3171  2 Sc 2.06
F  0.0723  0.0723  0.6718  1 Sc 1.97, 1 Li 2.11
F  0.9277  0.9277  0.3282  1 Sc 1.97, 1 Li 2.11
F  0.6829  0.0643  0.6829  2 Sc 2.06
F  0.0723  0.6718  0.0723  1 Sc 1.97, 1 Li 2.11
F  0.3171  0.9357  0.3171  2 Sc 2.06

- DFT total energy: -6.108 eV/atom

4.
BaSiPb2: relaxed, PBE-GGA.

Cell lengths 5.7158, 5.7158, 6.2370 Å; angles 69.97, 69.97, 44.35 degrees
With the nearest neighbours (Å) after each atom.
Sites, in units of the cell vectors:
Si  0.4948  0.4948  0.6173  5 Pb 2.91-3.24
Pb  0.0047  0.0047  0.9247  2 Si 2.91, 1 Pb 3.19
Ba  0.2196  0.2196  0.2628  2 Si 3.36, 5 Pb 3.63-3.69
Pb  0.7809  0.7809  0.6953  3 Si 3.03-3.24, 1 Pb 3.19

- DFT total energy: -3.839 eV/atom

5.
LiDyTmSn: relaxed, PBE-GGA.

Cell lengths 5.1811, 5.1811, 5.1811 Å; angles 60.00, 60.00, 60.00 degrees
With the nearest neighbours (Å) after each atom.
Sites, in units of the cell vectors:
Li  0.7500  0.7500  0.7500  4 Dy 3.17, 4 Tm 3.17
Tm  0.5000  0.5000  0.5000  4 Sn 3.17, 4 Li 3.17
Sn  0.2500  0.2500  0.2500  4 Dy 3.17, 4 Tm 3.17
Dy  0.0000  0.0000  0.0000  4 Sn 3.17, 4 Li 3.17

- Formation energy from the elements: -1.55 eV per formula unit
- DFT total energy: -4.136 eV/atom

6.
CsIn2H: relaxed, PBE-GGA.

Cell lengths 7.0520, 7.0520, 7.0618 Å; angles 60.05, 60.05, 90.00 degrees
With the nearest neighbours (Å) after each atom.
Sites, in units of the cell vectors:
In  0.3745  0.1250  0.2500  2 H 2.16
In  0.3755  0.6250  0.2500  2 H 2.16
H  0.2500  0.7500  0.5000  4 In 2.16
In  0.8750  0.6245  0.7500  2 H 2.16
Cs  0.7500  0.2500  0.5000  12 In 4.13-4.14, 4 H 4.32, 4 Cs 4.32
H  0.5000  0.5000  0.0000  4 In 2.16
In  0.3750  0.6255  0.7500  2 H 2.16
Cs  0.0000  0.0000  0.0000  12 In 4.13-4.14, 4 H 4.32, 4 Cs 4.32

- E above lowest polymorph: 160.7 meV/atom
- DFT total energy: -2.190 eV/atom